Here is AlTl2Hg after structural relaxation from Alexandria. Energies are from PBE.

The calculation puts the offset from the most stable computed form at 0.009 eV per atom. The calculation puts the magnetization at 0.000 μB per atom. The space group is Immm (71). The value obtained for the energy relative to the elements is 0.1247 eV per atom.

Unit cell a=7.9025 b=7.9025 c=7.9025 alpha=154.96 beta=147.71 gamma=41.29
Last column: nearest neighbours and their distance in Å.
Fractional positions:
Al1 0.0000 0.0000 0.0000  4 Hg 2.79
Tl1 0.1805 0.6805 0.5000  2 Al 3.17, 6 Tl 3.43-3.46, 2 Hg 3.46
Tl2 0.8195 0.3195 0.5000  2 Al 3.17, 6 Tl 3.43-3.46, 2 Hg 3.46
Hg1 0.5000 0.5000 0.0000  4 Al 2.79



Here is Ta2MnZn after structural relaxation from Alexandria. Energies are from PBE.

The calculation puts the magnetization at 0.259 μB per atom. The space group is I-4m2 (119). The value obtained for the energy relative to the elements is 0.1494 eV per atom.

Unit cell a=5.0875 b=5.0875 c=5.0875 alpha=136.14 beta=136.14 gamma=63.76
Last column: nearest neighbours and their distance in Å.
Fractional positions:
Ta1 0.0000 0.0000 0.0000  4 Mn 2.69, 4 Ta 2.88, 4 Zn 2.88
Ta2 0.7500 0.2500 0.5000  4 Zn 2.69, 4 Mn 2.88, 4 Ta 2.88
Mn1 0.5000 0.5000 0.0000  8 Ta 2.69-2.88, 4 Zn 2.88
Zn1 0.2500 0.7500 0.5000  8 Ta 2.69-2.88, 4 Mn 2.88



Here is SmPd4Au7 after structural relaxation from Alexandria. Energies are from PBE.

The calculation puts the magnetization at 0.000 μB per atom. The space group is C2/m (12). The value obtained for the energy relative to the elements is -0.0658 eV per atom.

Unit cell a=6.1499 b=6.1499 c=9.8418 alpha=119.97 beta=119.97 gamma=49.84
Last column: nearest neighbours and their distance in Å.
Fractional positions:
Sm1 0.0000 0.0000 0.0000  2 Au 2.59
Pd1 0.2838 0.2838 0.6746  6 Au 2.73-2.89, 1 Pd 2.79
Pd2 0.4289 0.4289 0.2263  8 Au 2.70-2.94, 1 Pd 2.79
Pd3 0.5711 0.5711 0.7737  8 Au 2.70-2.94, 1 Pd 2.79
Pd4 0.7162 0.7162 0.3254  6 Au 2.73-2.89, 1 Pd 2.79
Au1 0.0629 0.0629 0.3539  2 Au 2.71-2.82, 3 Pd 2.73-2.91
Au2 0.2132 0.2132 0.9047  2 Au 2.71-2.79, 4 Pd 2.72-2.94, 1 Sm 3.00
Au3 0.3495 0.3495 0.4410  5 Pd 2.70-2.89, 2 Au 2.82-2.89
Au4 0.5000 0.5000 0.0000  2 Sm 2.59, 4 Pd 2.74-2.75, 2 Au 2.79
Au5 0.6505 0.6505 0.5590  5 Pd 2.70-2.89, 2 Au 2.82-2.89
Au6 0.7868 0.7868 0.0953  2 Au 2.71-2.79, 4 Pd 2.72-2.94, 1 Sm 3.00
Au7 0.9371 0.9371 0.6461  2 Au 2.71-2.82, 3 Pd 2.73-2.91



Here is Sr3Cl after structural relaxation from Alexandria. Energies are from PBE.

The calculation puts the offset from the most stable computed form at 0.280 eV per atom. The value obtained for the uncorrected formation energy is -546 meV/atom. The calculation puts the magnetization at 0.000 μB per atom. The space group is Pmmn (59).

Unit cell a=6.4589 b=8.1684 c=8.1398 alpha=90.00 beta=90.00 gamma=90.00
Last column: nearest neighbours and their distance in Å.
Fractional positions:
Sr1 0.2500 0.0060 0.1372  1 Cl 2.96
Sr2 0.2500 0.2500 0.6251  2 Cl 3.23
Sr3 0.2500 0.4940 0.1372  1 Cl 2.96
Sr4 0.7500 0.5060 0.8628  1 Cl 2.96
Sr5 0.7500 0.7500 0.3749  2 Cl 3.23
Sr6 0.7500 0.9940 0.8628  1 Cl 2.96
Cl1 0.2500 0.7500 0.3949  4 Sr 2.96-3.23
Cl2 0.7500 0.2500 0.6051  4 Sr 2.96-3.23



Question: magnetization of number 1 (AlTl2Hg)?
Answer: 0.000 μB per atom



Question: Among the records above, which one has the highest magnetization?
Answer: Ta2MnZn



Question: The highest magnetization belongs to which entry?
Answer: Ta2MnZn